Computed, not measured: a relaxed KAsIrBr2 crystal at the GGA-PBE level of DFT.

abc: 5.7427 5.7427 6.1182
angles: 90.00 90.00 90.00
Space group P4/mmm (No. 123)
Symmetry-distinct sites (fractional):
K (0.0000, 0.0000, 0.0000) [1 per cell]
As (0.0000, 0.0000, 0.5000) [1 per cell]
Ir (0.5000, 0.5000, 0.5000) [1 per cell]
Br (0.0000, 0.5000, 0.0000) [2 per cell]

Values from the calculation:
E_form (uncorrected)   1531 meV/atom
VASP energy   -2.0594 eV/atom
Polymorph energy (0 for the lowest one)   1885 meV per atom

***

Computed, not measured: a relaxed KAs2IrBr crystal at the GGA-PBE level of DFT.

abc: 5.4884 5.4884 5.4491
angles: 90.00 90.00 90.00
Space group P4/mmm (No. 123)
Symmetry-distinct sites (fractional):
K (0.0000, 0.0000, 0.0000) [1 per cell]
As (0.0000, 0.5000, 0.0000) [2 per cell]
Ir (0.5000, 0.5000, 0.5000) [1 per cell]
Br (0.0000, 0.0000, 0.5000) [1 per cell]

Values from the calculation:
E_form (uncorrected)   2031 meV/atom
VASP energy   -2.1549 eV/atom
Polymorph energy (0 for the lowest one)   2208 meV per atom

***

Computed, not measured: a relaxed KAs2IrBr crystal at the GGA-PBE level of DFT.

abc: 4.6501 4.6501 9.4661
angles: 90.00 90.00 90.00
Space group P4/mmm (No. 123)
Symmetry-distinct sites (fractional):
K (0.0000, 0.0000, 0.0000) [1 per cell]
As (0.0000, 0.5000, 0.5000) [2 per cell]
Ir (0.5000, 0.5000, 0.5000) [1 per cell]
Br (0.5000, 0.5000, 0.0000) [1 per cell]

Values from the calculation:
E_form (uncorrected)   -177 meV/atom
VASP energy   -4.3631 eV/atom
Polymorph energy (0 for the lowest one)   0 meV per atom

***

Computed, not measured: a relaxed La6As2IrBr3 crystal at the GGA-PBE level of DFT.

abc: 19.2999 4.2379 9.0882
angles: 90.00 104.17 90.00
Space group C2/m (No. 12)
Symmetry-distinct sites (fractional):
La (0.0038, 0.0000, 0.2144) [4 per cell]
La (0.1569, 0.5000, 0.0996) [4 per cell]
La (0.1743, 0.5000, 0.5670) [4 per cell]
As (0.1656, 0.0000, 0.3356) [4 per cell]
Ir (0.0000, 0.5000, 0.0000) [2 per cell]
Br (0.0000, 0.5000, 0.5000) [2 per cell]
Br (0.1703, 0.0000, 0.8325) [4 per cell]

Values from the calculation:
E_form (uncorrected)   -1407 meV/atom
VASP energy   -5.8027 eV/atom

***

Computed, not measured: a relaxed LaAsIrBr2 crystal at the GGA-PBE level of DFT.

abc: 5.0654 5.0654 4.9562
angles: 90.00 90.00 90.00
Space group P4/mmm (No. 123)
Symmetry-distinct sites (fractional):
La (0.0000, 0.0000, 0.0000) [1 per cell]
As (0.5000, 0.5000, 0.0000) [1 per cell]
Ir (0.5000, 0.5000, 0.5000) [1 per cell]
Br (0.0000, 0.5000, 0.5000) [2 per cell]

Values from the calculation:
E_form (uncorrected)   -335 meV/atom
VASP energy   -4.6915 eV/atom
Polymorph energy (0 for the lowest one)   0 meV per atom

***

Computed, not measured: a relaxed La8AsIr3Br4 crystal at the GGA-PBE level of DFT.

abc: 8.5625 8.5625 23.3040
angles: 90.00 90.00 120.00
Space group R-3m (No. 166, hexagonal axes)
Symmetry-distinct sites (fractional):
La (0.0000, 0.0000, 0.2327) [6 per cell]
La (0.0147, 0.5073, 0.7668) [18 per cell]
As (0.0000, 0.0000, 0.5000) [3 per cell]
Ir (0.0000, 0.5000, 0.5000) [9 per cell]
Br (0.0000, 0.0000, 0.0000) [3 per cell]
Br (0.0000, 0.5000, 0.0000) [9 per cell]

Values from the calculation:
E_form (uncorrected)   -1270 meV/atom
VASP energy   -6.1039 eV/atom

***

Computed, not measured: a relaxed LaAsIrBr2 crystal at the GGA-PBE level of DFT.

abc: 5.6773 5.6773 6.2169
angles: 90.00 90.00 90.00
Space group P4/mmm (No. 123)
Symmetry-distinct sites (fractional):
La (0.0000, 0.0000, 0.0000) [1 per cell]
As (0.0000, 0.0000, 0.5000) [1 per cell]
Ir (0.5000, 0.5000, 0.5000) [1 per cell]
Br (0.0000, 0.5000, 0.0000) [2 per cell]

Values from the calculation:
E_form (uncorrected)   497 meV/atom
VASP energy   -3.8601 eV/atom
Polymorph energy (0 for the lowest one)   831 meV per atom

***

Computed, not measured: a relaxed La4AsIrBr2 crystal at the GGA-PBE level of DFT.

abc: 7.7507 4.1915 7.8698
angles: 90.00 107.65 90.00
Space group P2/m (No. 10)
Symmetry-distinct sites (fractional):
La (0.2148, 0.0000, 0.2006) [2 per cell]
La (0.2551, 0.5000, 0.7844) [2 per cell]
As (0.5000, 0.0000, 0.0000) [1 per cell]
Ir (0.0000, 0.5000, 0.0000) [1 per cell]
Br (0.0000, 0.0000, 0.5000) [1 per cell]
Br (0.5000, 0.5000, 0.5000) [1 per cell]

Values from the calculation:
E_form (uncorrected)   -1341 meV/atom
VASP energy   -5.9113 eV/atom

***

Computed, not measured: a relaxed LiAs2IrBr crystal at the GGA-PBE level of DFT.

abc: 4.6974 4.6974 6.1352
angles: 90.00 90.00 90.00
Space group P4/mmm (No. 123)
Symmetry-distinct sites (fractional):
Li (0.0000, 0.0000, 0.0000) [1 per cell]
As (0.0000, 0.5000, 0.5000) [2 per cell]
Ir (0.5000, 0.5000, 0.5000) [1 per cell]
Br (0.5000, 0.5000, 0.0000) [1 per cell]

Values from the calculation:
E_form (uncorrected)   126 meV/atom
VASP energy   -4.2237 eV/atom
Polymorph energy (0 for the lowest one)   0 meV per atom

***

Computed, not measured: a relaxed Mg2AsIrBr crystal at the GGA-PBE level of DFT.

abc: 5.0271 5.0271 5.1386
angles: 90.00 90.00 90.00
Space group P4/mmm (No. 123)
Symmetry-distinct sites (fractional):
Mg (0.0000, 0.5000, 0.0000) [2 per cell]
As (0.0000, 0.0000, 0.0000) [1 per cell]
Ir (0.5000, 0.5000, 0.5000) [1 per cell]
Br (0.0000, 0.0000, 0.5000) [1 per cell]

Values from the calculation:
E_form (uncorrected)   762 meV/atom
VASP energy   -2.9121 eV/atom

***

Computed, not measured: a relaxed MgAsIrBr2 crystal at the GGA-PBE level of DFT.

abc: 5.3309 5.3309 4.6573
angles: 90.00 90.00 90.00
Space group P4/mmm (No. 123)
Symmetry-distinct sites (fractional):
Mg (0.0000, 0.0000, 0.0000) [1 per cell]
As (0.5000, 0.5000, 0.0000) [1 per cell]
Ir (0.5000, 0.5000, 0.5000) [1 per cell]
Br (0.0000, 0.5000, 0.5000) [2 per cell]

Values from the calculation:
E_form (uncorrected)   173 meV/atom
VASP energy   -3.5171 eV/atom
Polymorph energy (0 for the lowest one)   0 meV per atom

***

Computed, not measured: a relaxed MgAsIrBr2 crystal at the GGA-PBE level of DFT.

abc: 4.8568 4.8568 5.6098
angles: 90.00 90.00 90.00
Space group P4/mmm (No. 123)
Symmetry-distinct sites (fractional):
Mg (0.0000, 0.0000, 0.0000) [1 per cell]
As (0.0000, 0.0000, 0.5000) [1 per cell]
Ir (0.5000, 0.5000, 0.5000) [1 per cell]
Br (0.0000, 0.5000, 0.0000) [2 per cell]

Values from the calculation:
E_form (uncorrected)   852 meV/atom
VASP energy   -2.8382 eV/atom
Polymorph energy (0 for the lowest one)   679 meV per atom

***

V / A^3/atom: 40.35; 32.83; 40.94; 30.03; 25.43; 30.83; 40.08; 30.45; 27.08; 25.97; 26.47; 26.47